A plane-wave DFT calculation with GGA-PBE was carried out for an optimized crystal structure of K5Hg2.

magnetic moment	0.000	μB/atom
SG	C2/c, No. 15
final energy	-14.31	eV per cell
energy of formation	-152	meV per atom

Cell lengths 10.4699, 10.4699, 9.4820 Å; angles 97.14, 97.14, 43.41 degrees
Closest atoms and distances in Å follow each position.
Fractional coordinates of all 14 atoms:
1 K 0.1023 0.8977 0.7500  4 Hg 3.62-3.65
2 K 0.1367 0.3061 0.3181  3 Hg 3.65-3.72
3 K 0.2831 0.5374 0.0730  2 Hg 3.61-3.63
4 K 0.3061 0.1367 0.8181  3 Hg 3.65-3.72
5 K 0.4626 0.7169 0.4270  2 Hg 3.61-3.63
6 K 0.5374 0.2831 0.5730  2 Hg 3.61-3.63
7 K 0.6939 0.8633 0.1819  3 Hg 3.65-3.72
8 K 0.7169 0.4626 0.9270  2 Hg 3.61-3.63
9 K 0.8633 0.6939 0.6819  3 Hg 3.65-3.72
10 K 0.8977 0.1023 0.2500  4 Hg 3.62-3.65
11 Hg 0.0895 0.6938 0.4183  7 K 3.61-3.72
12 Hg 0.3062 0.9105 0.0817  7 K 3.61-3.72
13 Hg 0.6938 0.0895 0.9183  7 K 3.61-3.72
14 Hg 0.9105 0.3062 0.5817  7 K 3.61-3.72